Na2V2F7 GGA+U relaxed; Fermi-level density of states = 1.1 states/eV/cell; final energy = -5.499 eV per atom; symmetry = No. 65
1.0
3.388 -3.869 0.000
3.388 3.869 0.000
0.000 0.000 5.439
Na V F
2 2 7
Direct
0.237 0.237 0.000
0.763 0.763 0.000
0.231 0.769 0.500
0.769 0.231 0.500
0.000 0.000 0.284
0.000 0.000 0.716
0.000 0.500 0.265
0.000 0.500 0.735
0.500 0.000 0.265
0.500 0.000 0.735
0.500 0.500 0.500